This record from Alexandria describes crystalline VSnTe2 at its relaxed geometry. The functional is PBE.

**Space-group type**: R-3m
**V**: 26.9 A^3/atom
**DOS at the Fermi energy**: 0.756 states/eV per atom
**ΔE_f (raw)**: -0.179 eV per atom
**Magnetization**: 0.05 μB per formula unit

Unit cell a=10.106 b=10.106 c=10.106 alpha=20.19 beta=20.19 gamma=20.19
Site moments in Bohr magnetons follow the coordinates.
Atoms (fractional coordinates):
V1 0.500 0.500 0.500  0.05
Te1 0.108 0.108 0.108  0.00
Te2 0.892 0.892 0.892  0.00
Sn1 0.000 0.000 0.000  0.00